# Al4Cu2O7 PBE-GGA optimized geometry
# **Crystal system**: cubic
# **Formation energy from raw total energies**: -2.01 eV/atom
# **Total DFT energy (no corrections)**: -6.4628 eV per atom
# **Density of states at the Fermi level**: 19.881 states/eV/cell
data_Al4Cu2O7
_chemical_formula_sum 'Al16 Cu8 O28'
_symmetry_space_group_name_H-M 'F -4 3 m'
_symmetry_Int_Tables_number 216
_symmetry_space_group_name_Hall 'F -4 2 3'
_cell_length_a 8.474
_cell_length_b 8.474
_cell_length_c 8.474
_cell_angle_alpha 90.00
_cell_angle_beta 90.00
_cell_angle_gamma 90.00
loop_
_atom_site_label
_atom_site_type_symbol
_atom_site_fract_x
_atom_site_fract_y
_atom_site_fract_z
Al1 Al 0.120 0.120 0.120
Cu1 Cu 0.000 0.000 0.500
Cu2 Cu 0.250 0.250 0.750
O1 O 0.000 0.000 0.241
O2 O 0.250 0.250 0.250